(1)
Computed, not measured: an optimized crystal structure of NaBi4Pb5 at the GGA-PBE level of DFT.

Geometry as POSCAR:
```
NaBi4Pb5
1.0
8.4771 -2.0749 0.0000
8.4771 2.0749 0.0000
-2.1034 0.0000 9.5748
Na Bi Pb
1 4 5
Cartesian
0.0000 0.0000 0.0000 Na
1.0149 0.0000 8.8490 Bi
7.3101 0.0000 2.2758 Bi
7.5406 0.0000 7.2990 Bi
13.8359 0.0000 0.7259 Bi
-1.0517 0.0000 4.7874 Pb
4.5093 0.0000 3.9554 Pb
3.9146 0.0000 7.4016 Pb
10.9361 0.0000 2.1732 Pb
10.3414 0.0000 5.6194 Pb
```

Its energy of formation from the pure elements is 0.043 eV per atom. The relative energy among the computed polymorphs is 0.064 eV/atom. The calculation puts the density of states at the Fermi level at 5.31 states/eV/cell.

(2)
Computed, not measured: an optimized crystal structure of NaBiPb2 at the GGA-PBE level of DFT.

Geometry as POSCAR:
```
NaBiPb2
1.0
1.7417 1.0056 12.4144
-1.7417 1.0056 12.4144
0.0000 -2.0112 12.4144
Na Bi Pb
1 1 2
Cartesian
0.0000 0.0000 0.0000 Na
0.0000 0.0000 18.6215 Bi
0.0000 0.0000 3.2465 Pb
0.0000 0.0000 33.9966 Pb
```

Its energy of formation from the pure elements is 0.068 eV per atom. The calculation puts the density of states at the Fermi level at 2.15 states/eV/cell.

(3)
Computed, not measured: an optimized crystal structure of NaBi4Pb15 at the GGA-PBE level of DFT.

Geometry as POSCAR:
```
NaBi4Pb15
1.0
5.6186 0.0000 0.0000
0.0000 5.6186 0.0000
0.0000 0.0000 19.9658
Na Bi Pb
1 4 15
Cartesian
0.0000 0.0000 0.0000 Na
0.0000 0.0000 3.6997 Bi
0.0000 0.0000 7.8977 Bi
0.0000 0.0000 12.0681 Bi
0.0000 0.0000 16.2661 Bi
0.0000 2.8093 1.9805 Pb
0.0000 2.8093 5.9909 Pb
0.0000 2.8093 9.9829 Pb
0.0000 2.8093 13.9749 Pb
0.0000 2.8093 17.9853 Pb
2.8093 0.0000 1.9805 Pb
2.8093 0.0000 5.9909 Pb
2.8093 0.0000 9.9829 Pb
2.8093 0.0000 13.9749 Pb
2.8093 0.0000 17.9853 Pb
2.8093 2.8093 0.0000 Pb
2.8093 2.8093 4.1257 Pb
2.8093 2.8093 8.0810 Pb
2.8093 2.8093 11.8848 Pb
2.8093 2.8093 15.8400 Pb
```

Its energy of formation from the pure elements is 0.013 eV per atom. The calculation puts the density of states at the Fermi level at 9.79 states/eV/cell.

(4)
Computed, not measured: an optimized crystal structure of Na3Bi2Pb3 at the GGA-PBE level of DFT.

Geometry as POSCAR:
```
Na3Bi2Pb3
1.0
7.7063 -2.8814 0.0000
7.7063 2.8814 0.0000
-2.3349 0.0000 5.5346
Na Bi Pb
3 2 3
Cartesian
0.0000 0.0000 0.0000 Na
0.4953 0.0000 3.4815 Na
12.5824 0.0000 2.0532 Na
3.2600 0.0000 1.3951 Bi
9.8177 0.0000 4.1395 Bi
3.6392 0.0000 4.8180 Pb
6.5389 0.0000 2.7673 Pb
9.4385 0.0000 0.7166 Pb
```

Its energy of formation from the pure elements is -0.123 eV per atom. The relative energy among the computed polymorphs is 0.004 eV/atom. The calculation puts the density of states at the Fermi level at 3.47 states/eV/cell.

(5)
Computed, not measured: an optimized crystal structure of NaBi4Pb8 at the GGA-PBE level of DFT.

Geometry as POSCAR:
```
NaBi4Pb8
1.0
3.5025 0.0000 0.0000
0.0000 5.8824 0.0000
0.0000 0.0000 20.7869
Na Bi Pb
1 4 8
Cartesian
0.0000 0.0000 0.0000 Na
0.0000 0.0000 5.5945 Bi
0.0000 2.9412 9.6434 Bi
1.7513 0.0000 14.7810 Bi
1.7513 2.9412 18.8287 Bi
0.0000 0.0000 11.7316 Pb
0.0000 0.0000 17.6761 Pb
0.0000 2.9412 3.5092 Pb
0.0000 2.9412 15.8907 Pb
1.7513 0.0000 2.7901 Pb
1.7513 0.0000 8.7070 Pb
1.7513 2.9412 6.5555 Pb
1.7513 2.9412 12.6950 Pb
```

Its energy of formation from the pure elements is 0.022 eV per atom. The calculation puts the density of states at the Fermi level at 5.61 states/eV/cell.

(6)
Computed, not measured: an optimized crystal structure of NaBi4Pb3 at the GGA-PBE level of DFT.

Geometry as POSCAR:
```
NaBi4Pb3
1.0
7.6030 -3.0133 0.0000
7.6030 3.0133 0.0000
-2.3606 0.0000 5.5426
Na Bi Pb
1 4 3
Cartesian
0.0000 0.0000 0.0000 Na
0.4701 0.0000 3.5107 Bi
3.0527 0.0000 1.3179 Bi
9.7928 0.0000 4.2248 Bi
12.3753 0.0000 2.0320 Bi
3.5435 0.0000 4.8282 Pb
6.4227 0.0000 2.7713 Pb
9.3019 0.0000 0.7144 Pb
```

Its energy of formation from the pure elements is -0.011 eV per atom. The calculation puts the density of states at the Fermi level at 3.20 states/eV/cell.

- The lowest density of states at the Fermi level belongs to which entry?
  NaBiPb2

Copy entry 6 word for word.
Computed, not measured: an optimized crystal structure of NaBi4Pb3 at the GGA-PBE level of DFT.

Geometry as POSCAR:
```
NaBi4Pb3
1.0
7.6030 -3.0133 0.0000
7.6030 3.0133 0.0000
-2.3606 0.0000 5.5426
Na Bi Pb
1 4 3
Cartesian
0.0000 0.0000 0.0000 Na
0.4701 0.0000 3.5107 Bi
3.0527 0.0000 1.3179 Bi
9.7928 0.0000 4.2248 Bi
12.3753 0.0000 2.0320 Bi
3.5435 0.0000 4.8282 Pb
6.4227 0.0000 2.7713 Pb
9.3019 0.0000 0.7144 Pb
```

Its energy of formation from the pure elements is -0.011 eV per atom. The calculation puts the density of states at the Fermi level at 3.20 states/eV/cell.

- Number 5 is which compound?
  NaBi4Pb8

Please write out number 2 again, unchanged.
Computed, not measured: an optimized crystal structure of NaBiPb2 at the GGA-PBE level of DFT.

Geometry as POSCAR:
```
NaBiPb2
1.0
1.7417 1.0056 12.4144
-1.7417 1.0056 12.4144
0.0000 -2.0112 12.4144
Na Bi Pb
1 1 2
Cartesian
0.0000 0.0000 0.0000 Na
0.0000 0.0000 18.6215 Bi
0.0000 0.0000 3.2465 Pb
0.0000 0.0000 33.9966 Pb
```

Its energy of formation from the pure elements is 0.068 eV per atom. The calculation puts the density of states at the Fermi level at 2.15 states/eV/cell.